Entry from Alexandria via LeMat-Bulk: an optimized crystal structure of Th3U (PBE-GGA).

abc: 4.8958 4.8958 4.8958
angles: 90.00 90.00 90.00
Closest atoms and distances in Å follow each position.
Atoms (fractional coordinates):
Th 0.0000 0.5000 0.5000  8 Th 3.46, 4 U 3.46
Th 0.5000 0.0000 0.5000  8 Th 3.46, 4 U 3.46
Th 0.5000 0.5000 0.0000  8 Th 3.46, 4 U 3.46
U 0.0000 0.0000 0.0000  12 Th 3.46

Computed properties:
- Relative energy among the computed polymorphs: 0.0083 eV per atom
- Formation energy: 0.26 eV per atom
- E_tot: -32.51 eV per cell
- Volume: 117.3 Å³/cell